# NaSbTe3 GGA-PBE optimized geometry
data_NaSbTe3
_chemical_formula_sum 'Na1 Sb1 Te3'
_cell_length_a 5.448
_cell_length_b 5.448
_cell_length_c 5.448
_cell_angle_alpha 90.00
_cell_angle_beta 90.00
_cell_angle_gamma 90.00
_space_group_name_H-M_alt 'P 1'
_space_group_IT_number 1
loop_
_space_group_symop_operation_xyz
'x,y,z'
loop_
_atom_site_label
_atom_site_type_symbol
_atom_site_fract_x
_atom_site_fract_y
_atom_site_fract_z
Na1 Na 0.000 0.000 0.000
Sb1 Sb 0.500 0.500 0.500
Te1 Te 0.000 0.000 0.500
Te2 Te 0.000 0.500 0.000
Te3 Te 0.500 0.000 0.000
# offset from the most stable computed form = 0.878 eV/atom
# energy relative to the elements, uncorrected = 0.61 eV/atom
# E_tot = -2.366 eV per atom



# Na2SbTe4 GGA-PBE optimized geometry
data_Na2SbTe4
_chemical_formula_sum 'Na2 Sb1 Te4'
_cell_length_a 6.668
_cell_length_b 6.668
_cell_length_c 8.483
_cell_angle_alpha 106.76
_cell_angle_beta 106.76
_cell_angle_gamma 39.75
_space_group_name_H-M_alt 'P 1'
_space_group_IT_number 1
loop_
_space_group_symop_operation_xyz
'x,y,z'
loop_
_atom_site_label
_atom_site_type_symbol
_atom_site_fract_x
_atom_site_fract_y
_atom_site_fract_z
Na1 Na 0.161 0.161 0.153
Na2 Na 0.839 0.839 0.847
Sb1 Sb 0.500 0.500 0.500
Te1 Te 0.173 0.173 0.545
Te2 Te 0.442 0.442 0.124
Te3 Te 0.558 0.558 0.876
Te4 Te 0.827 0.827 0.455
# energy relative to the elements, uncorrected = -0.36 eV/atom
# E_tot = -3.123 eV per atom



# NaSb2Te3 GGA-PBE optimized geometry
data_NaSb2Te3
_chemical_formula_sum 'Na2 Sb4 Te6'
_cell_length_a 7.686
_cell_length_b 7.686
_cell_length_c 7.976
_cell_angle_alpha 98.58
_cell_angle_beta 98.58
_cell_angle_gamma 120.69
_space_group_name_H-M_alt 'P 1'
_space_group_IT_number 1
loop_
_space_group_symop_operation_xyz
'x,y,z'
loop_
_atom_site_label
_atom_site_type_symbol
_atom_site_fract_x
_atom_site_fract_y
_atom_site_fract_z
Na1 Na 0.166 0.834 0.000
Na2 Na 0.834 0.166 0.000
Sb1 Sb 0.000 0.000 0.500
Sb2 Sb 0.329 0.671 0.500
Sb3 Sb 0.500 0.500 0.000
Sb4 Sb 0.671 0.329 0.500
Te1 Te 0.083 0.409 0.737
Te2 Te 0.267 0.267 0.258
Te3 Te 0.409 0.083 0.737
Te4 Te 0.591 0.917 0.263
Te5 Te 0.733 0.733 0.742
Te6 Te 0.917 0.591 0.263
# offset from the most stable computed form = 0.000 eV/atom
# energy relative to the elements, uncorrected = -0.27 eV/atom
# E_tot = -3.438 eV per atom



# Na8Sb2Te GGA-PBE optimized geometry
data_Na8Sb2Te
_chemical_formula_sum 'Na8 Sb2 Te1'
_cell_length_a 9.202
_cell_length_b 9.202
_cell_length_c 7.427
_cell_angle_alpha 113.79
_cell_angle_beta 113.79
_cell_angle_gamma 33.54
_space_group_name_H-M_alt 'P 1'
_space_group_IT_number 1
loop_
_space_group_symop_operation_xyz
'x,y,z'
loop_
_atom_site_label
_atom_site_type_symbol
_atom_site_fract_x
_atom_site_fract_y
_atom_site_fract_z
Na1 Na 0.000 0.000 0.220
Na2 Na 0.000 0.000 0.780
Na3 Na 0.182 0.182 0.684
Na4 Na 0.346 0.346 0.612
Na5 Na 0.347 0.347 0.080
Na6 Na 0.653 0.653 0.920
Na7 Na 0.654 0.654 0.388
Na8 Na 0.818 0.818 0.316
Sb1 Sb 0.178 0.178 0.178
Sb2 Sb 0.822 0.822 0.822
Te1 Te 0.500 0.500 0.500
# energy relative to the elements, uncorrected = -0.55 eV/atom
# E_tot = -2.543 eV per atom



# NaSbTe3 GGA-PBE optimized geometry
data_NaSbTe3
_chemical_formula_sum 'Na1 Sb1 Te3'
_cell_length_a 5.810
_cell_length_b 5.810
_cell_length_c 5.810
_cell_angle_alpha 90.00
_cell_angle_beta 90.00
_cell_angle_gamma 90.00
_space_group_name_H-M_alt 'P 1'
_space_group_IT_number 1
loop_
_space_group_symop_operation_xyz
'x,y,z'
loop_
_atom_site_label
_atom_site_type_symbol
_atom_site_fract_x
_atom_site_fract_y
_atom_site_fract_z
Na1 Na 0.000 0.000 0.000
Sb1 Sb 0.500 0.500 0.500
Te1 Te 0.000 0.500 0.500
Te2 Te 0.500 0.000 0.500
Te3 Te 0.500 0.500 0.000
# offset from the most stable computed form = 0.325 eV/atom
# energy relative to the elements, uncorrected = 0.05 eV/atom
# E_tot = -2.919 eV per atom



# Na2ThSbTe4 GGA-PBE optimized geometry
data_Na2ThSbTe4
_chemical_formula_sum 'Na2 Th1 Sb1 Te4'
_cell_length_a 7.866
_cell_length_b 4.512
_cell_length_c 8.006
_cell_angle_alpha 90.00
_cell_angle_beta 108.99
_cell_angle_gamma 90.00
_space_group_name_H-M_alt 'P 1'
_space_group_IT_number 1
loop_
_space_group_symop_operation_xyz
'x,y,z'
loop_
_atom_site_label
_atom_site_type_symbol
_atom_site_fract_x
_atom_site_fract_y
_atom_site_fract_z
Na1 Na 0.000 0.000 0.000
Na2 Na 0.000 0.500 0.500
Th1 Th 0.500 0.000 0.500
Sb1 Sb 0.500 0.500 0.000
Te1 Te 0.263 0.500 0.253
Te2 Te 0.271 0.000 0.757
Te3 Te 0.729 0.000 0.243
Te4 Te 0.737 0.500 0.747
# energy relative to the elements, uncorrected = -0.76 eV/atom
# E_tot = -4.101 eV per atom



# NaTiSb2Te GGA-PBE optimized geometry
data_NaTiSb2Te
_chemical_formula_sum 'Na1 Ti1 Sb2 Te1'
_cell_length_a 5.321
_cell_length_b 5.321
_cell_length_c 5.456
_cell_angle_alpha 90.00
_cell_angle_beta 90.00
_cell_angle_gamma 90.00
_space_group_name_H-M_alt 'P 1'
_space_group_IT_number 1
loop_
_space_group_symop_operation_xyz
'x,y,z'
loop_
_atom_site_label
_atom_site_type_symbol
_atom_site_fract_x
_atom_site_fract_y
_atom_site_fract_z
Na1 Na 0.000 0.000 0.000
Ti1 Ti 0.500 0.500 0.500
Sb1 Sb 0.000 0.500 0.500
Sb2 Sb 0.500 0.000 0.500
Te1 Te 0.500 0.500 0.000
# offset from the most stable computed form = 0.000 eV/atom
# energy relative to the elements, uncorrected = -0.17 eV/atom
# E_tot = -4.289 eV per atom



# NaTlSbTe3 GGA-PBE optimized geometry
data_NaTlSbTe3
_chemical_formula_sum 'Na2 Tl2 Sb2 Te6'
_cell_length_a 8.167
_cell_length_b 4.785
_cell_length_c 10.619
_cell_angle_alpha 90.00
_cell_angle_beta 94.91
_cell_angle_gamma 90.00
_space_group_name_H-M_alt 'P 1'
_space_group_IT_number 1
loop_
_space_group_symop_operation_xyz
'x,y,z'
loop_
_atom_site_label
_atom_site_type_symbol
_atom_site_fract_x
_atom_site_fract_y
_atom_site_fract_z
Na1 Na 0.032 0.250 0.151
Na2 Na 0.968 0.750 0.849
Tl1 Tl 0.343 0.250 0.878
Tl2 Tl 0.657 0.750 0.122
Sb1 Sb 0.326 0.750 0.386
Sb2 Sb 0.674 0.250 0.614
Te1 Te 0.095 0.250 0.449
Te2 Te 0.256 0.750 0.080
Te3 Te 0.453 0.750 0.657
Te4 Te 0.547 0.250 0.343
Te5 Te 0.744 0.250 0.920
Te6 Te 0.905 0.750 0.551
# energy relative to the elements, uncorrected = -0.30 eV/atom
# E_tot = -3.176 eV per atom



# NaTl2SbTe GGA-PBE optimized geometry
data_NaTl2SbTe
_chemical_formula_sum 'Na1 Tl2 Sb1 Te1'
_cell_length_a 5.636
_cell_length_b 5.636
_cell_length_c 5.508
_cell_angle_alpha 90.00
_cell_angle_beta 90.00
_cell_angle_gamma 90.00
_space_group_name_H-M_alt 'P 1'
_space_group_IT_number 1
loop_
_space_group_symop_operation_xyz
'x,y,z'
loop_
_atom_site_label
_atom_site_type_symbol
_atom_site_fract_x
_atom_site_fract_y
_atom_site_fract_z
Na1 Na 0.000 0.000 0.000
Tl1 Tl 0.000 0.500 0.000
Tl2 Tl 0.500 0.000 0.000
Sb1 Sb 0.000 0.000 0.500
Te1 Te 0.500 0.500 0.500
# energy relative to the elements, uncorrected = 0.30 eV/atom
# E_tot = -2.365 eV per atom



# Na2TlSbTe4 GGA-PBE optimized geometry
data_Na2TlSbTe4
_chemical_formula_sum 'Na2 Tl1 Sb1 Te4'
_cell_length_a 7.642
_cell_length_b 4.375
_cell_length_c 8.136
_cell_angle_alpha 90.00
_cell_angle_beta 108.22
_cell_angle_gamma 90.00
_space_group_name_H-M_alt 'P 1'
_space_group_IT_number 1
loop_
_space_group_symop_operation_xyz
'x,y,z'
loop_
_atom_site_label
_atom_site_type_symbol
_atom_site_fract_x
_atom_site_fract_y
_atom_site_fract_z
Na1 Na 0.000 0.000 0.000
Na2 Na 0.500 0.500 0.000
Tl1 Tl 0.000 0.500 0.500
Sb1 Sb 0.500 0.000 0.500
Te1 Te 0.248 0.000 0.731
Te2 Te 0.263 0.500 0.266
Te3 Te 0.737 0.500 0.734
Te4 Te 0.752 0.000 0.269
# energy relative to the elements, uncorrected = -0.39 eV/atom
# E_tot = -3.106 eV per atom